Density functional theory data (GGA-PBE) for an optimized crystal structure of NbTc2Pd.

Summary:
The space-group type is F-43m. As for the energy: -8.88 eV per atom. As for the size of the total moment: 0.01 μB per cell.

Unit cell a=4.4608 b=4.4608 c=4.4608 alpha=60.00 beta=60.00 gamma=60.00
Element x y z (fractional)
Nb1 0.7500 0.7500 0.7500
Pd1 0.5000 0.5000 0.5000
Tc1 0.0000 0.0000 0.0000
Tc2 0.2500 0.2500 0.2500



Density functional theory data (GGA-PBE) for an optimized crystal structure of NbTe2Pd2.

Summary:
The space-group type is I4/mmm. As for the energy: -5.34 eV per atom. As for the size of the total moment: 0.71 μB per cell.

Unit cell a=7.8075 b=7.8075 c=7.8075 alpha=152.53 beta=152.53 gamma=39.24
Element x y z (fractional)
Nb1 0.0000 0.0000 0.0000
Pd1 0.7500 0.2500 0.5000
Pd2 0.2500 0.7500 0.5000
Te1 0.3923 0.3923 0.0000
Te2 0.6077 0.6077 0.0000



Density functional theory data (GGA-PBE) for an optimized crystal structure of NbTe5Pd.

Summary:
The space-group type is Pnma. As for the energy: -4.80 eV per atom. As for the size of the total moment: 0.01 μB per cell.

Unit cell a=15.8874 b=3.7644 c=13.1389 alpha=90.00 beta=90.00 gamma=90.00
Element x y z (fractional)
Nb1 0.3418 0.2500 0.2476
Nb2 0.8418 0.2500 0.2524
Nb3 0.1582 0.7500 0.7476
Nb4 0.6582 0.7500 0.7524
Pd1 0.0918 0.7500 0.2391
Pd2 0.5918 0.7500 0.2609
Pd3 0.4082 0.2500 0.7391
Pd4 0.9082 0.2500 0.7609
Te1 0.3475 0.7500 0.0831
Te2 0.1808 0.2500 0.1348
Te3 0.9407 0.7500 0.1360
Te4 0.7375 0.7500 0.1470
Te5 0.5075 0.2500 0.1536
Te6 0.0075 0.2500 0.3464
Te7 0.2375 0.7500 0.3530
Te8 0.4407 0.7500 0.3640
Te9 0.6808 0.2500 0.3652
Te10 0.8475 0.7500 0.4169
Te11 0.1525 0.2500 0.5831
Te12 0.3192 0.7500 0.6348
Te13 0.5593 0.2500 0.6360
Te14 0.7625 0.2500 0.6470
Te15 0.9925 0.7500 0.6536
Te16 0.4925 0.7500 0.8464
Te17 0.2625 0.2500 0.8530
Te18 0.0593 0.2500 0.8640
Te19 0.8192 0.7500 0.8652
Te20 0.6525 0.2500 0.9169



Density functional theory data (GGA-PBE) for an optimized crystal structure of Nb2TlPd.

Summary:
The space-group type is F-43m. As for the energy: -6.63 eV per atom. As for the size of the total moment: 0.03 μB per cell.

Unit cell a=4.7207 b=4.7207 c=4.7207 alpha=60.00 beta=60.00 gamma=60.00
Element x y z (fractional)
Nb1 0.0000 0.0000 0.0000
Nb2 0.7500 0.7500 0.7500
Pd1 0.2500 0.2500 0.2500
Tl1 0.5000 0.5000 0.5000



> Among the records above, which one has the highest energy?

NbTe5Pd



> What is the size of the total moment in the third record?

0.01 μB per cell



> The highest size of the total moment belongs to which entry?

NbTe2Pd2